BaCaTe3: single point on PBEsol structure, SCAN.

Lattice parameters (Å, degrees): 5.7678 5.7678 5.7678 90.00 90.00 90.00
With the nearest neighbours (Å) after each atom.
Positions (direct):
1 Te 0.0000 0.0000 0.5000  2 Ca 2.88
2 Ba 0.5000 0.5000 0.5000  12 Te 4.08
3 Te 0.5000 0.0000 0.0000  2 Ca 2.88
4 Te 0.0000 0.5000 0.0000  2 Ca 2.88
5 Ca 0.0000 0.0000 0.0000  6 Te 2.88

Properties
Formation energy without anion corrections = -98 kJ/mol of atoms